[1]
First-principles (PBE) data for a geometry-optimized Pm2CuHg8 structure, as listed in Alexandria.

Calculated values
The energy relative to the elements is -0.242 eV/atom.

abc: 4.680 4.680 12.475
angles: 90.00 90.00 90.00
Element x y z (fractional)
Pm (0.000, 0.000, 0.199)
Pm (0.000, 0.000, 0.801)
Cu (0.000, 0.000, 0.500)
Hg (0.000, 0.500, 0.000)
Hg (0.000, 0.500, 0.377)
Hg (0.000, 0.500, 0.623)
Hg (0.500, 0.000, 0.000)
Hg (0.500, 0.000, 0.377)
Hg (0.500, 0.000, 0.623)
Hg (0.500, 0.500, 0.183)
Hg (0.500, 0.500, 0.817)

=====

[2]
First-principles (PBE) data for a geometry-optimized Pm4Cu3Hg structure, as listed in Alexandria.

Calculated values
The energy relative to the elements is -0.228 eV/atom.

abc: 3.887 4.664 10.886
angles: 90.00 90.00 90.00
Element x y z (fractional)
Pm (0.000, 0.000, 0.000)
Pm (0.000, 0.500, 0.266)
Pm (0.500, 0.000, 0.472)
Pm (0.500, 0.500, 0.777)
Cu (0.000, 0.500, 0.547)
Cu (0.500, 0.000, 0.197)
Cu (0.500, 0.500, 0.063)
Hg (0.000, 0.000, 0.703)

=====

[3]
First-principles (PBE) data for a geometry-optimized Pm3Cu3Hg structure, as listed in Alexandria.

Calculated values
The energy relative to the elements is -0.205 eV/atom.

abc: 9.646 9.646 4.231
angles: 90.00 90.00 120.00
Element x y z (fractional)
Pm (0.095, 0.696, 0.250)
Pm (0.304, 0.400, 0.250)
Pm (0.400, 0.095, 0.750)
Pm (0.600, 0.905, 0.250)
Pm (0.696, 0.600, 0.750)
Pm (0.905, 0.304, 0.750)
Cu (0.034, 0.870, 0.750)
Cu (0.130, 0.164, 0.750)
Cu (0.164, 0.034, 0.250)
Cu (0.836, 0.966, 0.750)
Cu (0.870, 0.836, 0.250)
Cu (0.966, 0.130, 0.250)
Hg (0.333, 0.667, 0.750)
Hg (0.667, 0.333, 0.250)

=====

[4]
First-principles (PBE) data for a geometry-optimized PmCu9Hg2 structure, as listed in Alexandria.

Calculated values
The energy relative to the elements is -0.067 eV/atom.

abc: 8.512 8.512 8.512
angles: 35.15 35.15 35.15
Element x y z (fractional)
Pm (0.000, 0.000, 0.000)
Cu (0.081, 0.585, 0.585)
Cu (0.333, 0.333, 0.333)
Cu (0.415, 0.415, 0.919)
Cu (0.415, 0.919, 0.415)
Cu (0.500, 0.500, 0.500)
Cu (0.585, 0.081, 0.585)
Cu (0.585, 0.585, 0.081)
Cu (0.667, 0.667, 0.667)
Cu (0.919, 0.415, 0.415)
Hg (0.141, 0.141, 0.141)
Hg (0.859, 0.859, 0.859)

=====

[5]
First-principles (PBE) data for a geometry-optimized Pm6Cu5Hg structure, as listed in Alexandria.

Calculated values
The energy relative to the elements is -0.203 eV/atom.

abc: 5.111 7.239 8.831
angles: 114.19 106.65 90.01
Element x y z (fractional)
Pm (0.000, 0.237, 0.000)
Pm (0.000, 0.763, 0.000)
Pm (0.328, 0.072, 0.657)
Pm (0.328, 0.585, 0.657)
Pm (0.672, 0.415, 0.343)
Pm (0.672, 0.928, 0.343)
Cu (0.164, 0.664, 0.326)
Cu (0.166, 0.165, 0.331)
Cu (0.500, 0.000, 0.000)
Cu (0.834, 0.835, 0.669)
Cu (0.836, 0.336, 0.674)
Hg (0.500, 0.500, 0.000)

=====

[6]
First-principles (PBE) data for a geometry-optimized PmCuHg structure, as listed in Alexandria.

Calculated values
The energy relative to the elements is -0.337 eV/atom.

abc: 13.470 3.864 7.696
angles: 90.00 90.00 90.00
Element x y z (fractional)
Pm (0.048, 0.000, 0.242)
Pm (0.250, 0.000, 0.849)
Pm (0.452, 0.000, 0.242)
Pm (0.548, 0.000, 0.758)
Pm (0.750, 0.000, 0.151)
Pm (0.952, 0.000, 0.758)
Cu (0.088, 0.500, 0.948)
Cu (0.250, 0.000, 0.446)
Cu (0.412, 0.500, 0.948)
Cu (0.588, 0.500, 0.052)
Cu (0.750, 0.000, 0.554)
Cu (0.912, 0.500, 0.052)
Hg (0.119, 0.500, 0.579)
Hg (0.250, 0.500, 0.187)
Hg (0.381, 0.500, 0.579)
Hg (0.619, 0.500, 0.421)
Hg (0.750, 0.500, 0.813)
Hg (0.881, 0.500, 0.421)

=====

[7]
First-principles (PBE) data for a geometry-optimized Pm3CuHg structure, as listed in Alexandria.

Calculated values
The energy relative to the elements is -0.084 eV/atom.

abc: 3.935 9.110 9.111
angles: 113.91 90.00 90.00
Element x y z (fractional)
Pm (0.000, 0.000, 0.000)
Pm (0.000, 0.168, 0.625)
Pm (0.493, 0.417, 0.980)
Pm (0.493, 0.751, 0.646)
Pm (0.995, 0.397, 0.397)
Pm (0.995, 0.772, 0.228)
Cu (0.496, 0.584, 0.313)
Cu (0.502, 0.084, 0.813)
Hg (0.497, 0.084, 0.313)
Hg (0.993, 0.584, 0.812)

=====

[8]
First-principles (PBE) data for a geometry-optimized PmCuHg structure, as listed in Alexandria.

Calculated values
The energy relative to the elements is -0.146 eV/atom.

abc: 3.431 3.431 24.375
angles: 90.00 90.00 90.00
Element x y z (fractional)
Pm (0.000, 0.000, 0.152)
Pm (0.000, 0.000, 0.848)
Pm (0.500, 0.500, 0.348)
Pm (0.500, 0.500, 0.652)
Cu (0.000, 0.000, 0.272)
Cu (0.000, 0.000, 0.728)
Cu (0.500, 0.500, 0.228)
Cu (0.500, 0.500, 0.772)
Hg (0.000, 0.000, 0.441)
Hg (0.000, 0.000, 0.559)
Hg (0.500, 0.500, 0.059)
Hg (0.500, 0.500, 0.941)